(1)
MgBeCr2 after structural relaxation. Source: the Alexandria database, functional GGA-PBEsol.

Properties
polymorph energy (0 for the lowest one)	210.4	meV/atom
calculated formation energy	471	meV/atom

CIF file:
```
data_MgBeCr2
_chemical_formula_sum 'Mg4 Be4 Cr8'
_symmetry_space_group_name_H-M 'F -4 3 m'
_symmetry_Int_Tables_number 216
_symmetry_space_group_name_Hall 'F -4 2 3'
_cell_length_a 5.838
_cell_length_b 5.838
_cell_length_c 5.838
_cell_angle_alpha 90.00
_cell_angle_beta 90.00
_cell_angle_gamma 90.00
loop_
_atom_site_label
_atom_site_type_symbol
_atom_site_fract_x
_atom_site_fract_y
_atom_site_fract_z
Mg1 Mg 0.000 0.000 0.000
Be1 Be 0.250 0.250 0.750
Cr1 Cr 0.000 0.000 0.500
Cr2 Cr 0.250 0.250 0.250
```


(2)
MgBeCr2 after structural relaxation. Source: the Alexandria database, functional GGA-PBEsol.

Properties
polymorph energy (0 for the lowest one)	0.0	meV/atom
calculated formation energy	261	meV/atom

CIF file:
```
data_MgBeCr2
_chemical_formula_sum 'Mg1 Be1 Cr2'
_symmetry_space_group_name_H-M 'P 4 m m'
_symmetry_Int_Tables_number 99
_cell_length_a 2.906
_cell_length_b 2.906
_cell_length_c 6.066
_cell_angle_alpha 90.00
_cell_angle_beta 90.00
_cell_angle_gamma 90.00
loop_
_symmetry_equiv_pos_as_xyz
'x,y,z'
'-y,x,z'
'-x,-y,z'
'y,-x,z'
'-x,y,z'
'y,x,z'
'x,-y,z'
'-y,-x,z'
loop_
_atom_site_label
_atom_site_type_symbol
_atom_site_fract_x
_atom_site_fract_y
_atom_site_fract_z
Mg1 Mg 0.000 0.000 0.000
Be1 Be 0.500 0.500 0.281
Cr1 Cr 0.000 0.000 0.499
Cr2 Cr 0.500 0.500 0.673
```


(3)
MgBeCr2 after structural relaxation. Source: the Alexandria database, functional GGA-PBEsol.

Properties
polymorph energy (0 for the lowest one)	179.1	meV/atom
calculated formation energy	440	meV/atom

CIF file:
```
data_MgBeCr2
_chemical_formula_sum 'Mg1 Be1 Cr2'
_symmetry_space_group_name_H-M 'P m m m'
_symmetry_Int_Tables_number 47
_cell_length_a 3.122
_cell_length_b 3.750
_cell_length_c 4.199
_cell_angle_alpha 90.00
_cell_angle_beta 90.00
_cell_angle_gamma 90.00
loop_
_symmetry_equiv_pos_as_xyz
'x,y,z'
'-x,-y,-z'
'-x,-y,z'
'x,y,-z'
'x,-y,-z'
'-x,y,z'
'-x,y,-z'
'x,-y,z'
loop_
_atom_site_label
_atom_site_type_symbol
_atom_site_fract_x
_atom_site_fract_y
_atom_site_fract_z
Mg1 Mg 0.000 0.000 0.000
Be1 Be 0.500 0.500 0.000
Cr1 Cr 0.000 0.500 0.500
Cr2 Cr 0.500 0.000 0.500
```